First-principles (GGA+U) data for CaMnBi2O after structural relaxation, as listed in the Alexandria database.

## Properties
The total energy comes out at -19.452 eV/cell. The value obtained for the density is 5.913 g cm⁻³.

Cell: 5.1126 5.1126 5.6835 Å, 90.00 90.00 90.00°
With the nearest neighbours (Å) after each atom.
Space group P4/mmm (No. 123)
Unique sites:
Ca (0.0000, 0.0000, 0.0000) x1  2 Mn 2.84
Mn (0.0000, 0.0000, 0.5000) x1  4 Bi 2.56, 2 Ca 2.84
Bi (0.0000, 0.5000, 0.5000) x2  2 Mn 2.56
O (0.5000, 0.5000, 0.0000) x1  4 Ca 3.62, 8 Bi 3.82